# SrZnCr2B

A relaxed SrZnCr2B crystal (PBE-GGA, the Alexandria database).

abc: 4.755 4.755 5.764
angles: 90.00 90.00 90.00
Sites, in units of the cell vectors:
Sr (0.000, 0.000, 0.000)
Zn (0.000, 0.000, 0.500)
Cr (0.000, 0.500, 0.500)
Cr (0.500, 0.000, 0.500)
B (0.500, 0.500, 0.000)

* ΔE_f: 1.612 eV per atom
* magnetic moment: 7.6 μB/f.u.

---

# PrHoPa4

A relaxed PrHoPa4 crystal (PBE-GGA, the Alexandria database).

abc: 6.176 6.176 6.176
angles: 60.00 60.00 60.00
Sites, in units of the cell vectors:
Pr (0.000, 0.000, 0.000)
Ho (0.250, 0.250, 0.250)
Pa (0.126, 0.625, 0.625)
Pa (0.625, 0.126, 0.625)
Pa (0.625, 0.625, 0.126)
Pa (0.625, 0.625, 0.625)

* ΔE_f: 0.243 eV per atom
* magnetic moment: 0.0 μB/f.u.

---

# Na3TlS2

A relaxed Na3TlS2 crystal (PBE-GGA, the Alexandria database).

abc: 8.456 8.456 8.456
angles: 131.03 70.15 133.09
Sites, in units of the cell vectors:
Na (0.012, 0.750, 0.262)
Na (0.250, 0.250, 0.000)
Na (0.488, 0.750, 0.738)
Na (0.512, 0.250, 0.262)
Na (0.750, 0.750, 0.000)
Na (0.988, 0.250, 0.738)
Tl (0.000, 0.500, 0.500)
Tl (0.500, 0.000, 0.500)
S (0.142, 0.203, 0.344)
S (0.358, 0.703, 0.061)
S (0.642, 0.297, 0.939)
S (0.858, 0.797, 0.656)

* uncorrected formation energy: -0.7543 eV/atom
* magnetic moment: 0.0 μB/f.u.

---

# LiLaCd3

A relaxed LiLaCd3 crystal (PBE-GGA, the Alexandria database).

abc: 6.128 6.128 6.128
angles: 90.00 90.00 90.00
Sites, in units of the cell vectors:
Li (0.000, 0.000, 0.000)
La (0.500, 0.500, 0.500)
Cd (0.000, 0.500, 0.500)
Cd (0.500, 0.000, 0.500)
Cd (0.500, 0.500, 0.000)

* energy above the most stable polymorph in this dataset: 833 meV/atom
* ΔE_f: 0.604 eV per atom
* magnetic moment: 0.0 μB/f.u.

---

# CeScZnTc

A relaxed CeScZnTc crystal (PBE-GGA, the Alexandria database).

abc: 4.824 4.824 4.824
angles: 60.00 60.00 60.00
Sites, in units of the cell vectors:
Ce (0.000, 0.000, 0.000)
Sc (0.500, 0.500, 0.500)
Zn (0.250, 0.250, 0.250)
Tc (0.750, 0.750, 0.750)

* ΔE_f: -0.176 eV per atom
* magnetic moment: 0.0 μB/f.u.

---

# Pr8C3NCl3

A relaxed Pr8C3NCl3 crystal (PBE-GGA, the Alexandria database).

abc: 7.614 7.614 8.307
angles: 117.33 117.33 59.97
Sites, in units of the cell vectors:
Pr (0.231, 0.733, 0.697)
Pr (0.233, 0.233, 0.698)
Pr (0.267, 0.267, 0.303)
Pr (0.267, 0.769, 0.303)
Pr (0.733, 0.231, 0.697)
Pr (0.733, 0.733, 0.697)
Pr (0.767, 0.767, 0.302)
Pr (0.769, 0.267, 0.303)
C (0.000, 0.000, 0.500)
C (0.000, 0.500, 0.500)
C (0.500, 0.000, 0.500)
N (0.500, 0.500, 0.500)
Cl (0.000, 0.500, 0.000)
Cl (0.500, 0.000, 0.000)
Cl (0.500, 0.500, 0.000)

* uncorrected formation energy: -0.9419 eV/atom
* magnetic moment: 0.5 μB/f.u.

---

# Tl2CdP3Pt12

A relaxed Tl2CdP3Pt12 crystal (PBE-GGA, the Alexandria database).

abc: 7.407 7.407 7.407
angles: 68.35 68.35 68.35
Sites, in units of the cell vectors:
Tl (0.099, 0.099, 0.099)
Tl (0.901, 0.901, 0.901)
Cd (0.500, 0.500, 0.500)
P (0.000, 0.500, 0.500)
P (0.500, 0.000, 0.500)
P (0.500, 0.500, 0.000)
Pt (0.106, 0.647, 0.647)
Pt (0.148, 0.148, 0.606)
Pt (0.148, 0.606, 0.148)
Pt (0.353, 0.353, 0.894)
Pt (0.353, 0.894, 0.353)
Pt (0.394, 0.852, 0.852)
Pt (0.606, 0.148, 0.148)
Pt (0.647, 0.106, 0.647)
Pt (0.647, 0.647, 0.106)
Pt (0.852, 0.394, 0.852)
Pt (0.852, 0.852, 0.394)
Pt (0.894, 0.353, 0.353)

* ΔE_f: -0.133 eV per atom
* magnetic moment: 0.0 μB/f.u.

---

# Na3Tl6Ga

A relaxed Na3Tl6Ga crystal (PBE-GGA, the Alexandria database).

abc: 9.247 5.506 11.683
angles: 90.00 108.77 90.00
Sites, in units of the cell vectors:
Na (0.034, 0.250, 0.390)
Na (0.126, 0.750, 0.221)
Na (0.273, 0.250, 0.988)
Na (0.727, 0.750, 0.012)
Na (0.874, 0.250, 0.779)
Na (0.966, 0.750, 0.610)
Tl (0.037, 0.750, 0.919)
Tl (0.184, 0.250, 0.684)
Tl (0.275, 0.750, 0.514)
Tl (0.350, 0.250, 0.308)
Tl (0.352, 0.750, 0.828)
Tl (0.430, 0.750, 0.138)
Tl (0.570, 0.250, 0.862)
Tl (0.648, 0.250, 0.172)
Tl (0.650, 0.750, 0.692)
Tl (0.725, 0.250, 0.486)
Tl (0.816, 0.750, 0.316)
Tl (0.963, 0.250, 0.081)
Ga (0.459, 0.250, 0.587)
Ga (0.541, 0.750, 0.413)

* ΔE_f: -0.067 eV per atom
* magnetic moment: 0.0 μB/f.u.

---

no.,uncorrected energy (eV/atom)
1,-4.16
2,-7.65
3,-3.18
4,-1.31
5,-6.15
6,-6.26
7,-5.38
8,-2.19